! PBE Y2Ga6Cu3, optimized geometry; values from VASP
&SYSTEM
  ibrav = 0, nat = 11, ntyp = 3
/
ATOMIC_SPECIES
Cu 63.55 Cu.upf
Ga 69.72 Ga.upf
Y 88.91 Y.upf
ATOMIC_POSITIONS angstrom
Cu 2.012 2.397 1.384
Ga 2.012 4.486 2.590
Ga 0.000 1.276 0.737
Cu 2.012 4.144 -2.393
Y 0.000 2.180 3.777
Y 0.000 4.361 0.000
Ga 2.012 0.000 2.374
Ga 0.000 0.000 6.080
Ga 0.000 5.265 -3.040
Cu 2.012 0.000 4.785
Ga 2.012 2.056 -1.187
CELL_PARAMETERS angstrom
4.024 0.000 0.000
0.000 6.541 -3.777
0.000 0.000 7.553
! * density: 6.57 Mg/m³
! * magnetization: 0.00 μB/f.u.
! * density of states at the Fermi level: 3.78 states/eV/f.u.
! * formation energy from the elements: -0.40 eV/atom
! * space group: No. 189

! PBE BaAsPbSe2, optimized geometry; values from VASP
&SYSTEM
  ibrav = 0, nat = 5, ntyp = 4
/
ATOMIC_SPECIES
Ba 137.33 Ba.upf
Se 78.96 Se.upf
As 74.92 As.upf
Pb 207.20 Pb.upf
ATOMIC_POSITIONS angstrom
Ba 0.000 0.000 3.513
Se 0.000 2.707 0.000
Se 2.707 0.000 0.000
As 2.707 2.707 3.513
Pb 0.000 0.000 0.000
CELL_PARAMETERS angstrom
5.413 0.000 0.000
0.000 5.413 0.000
0.000 0.000 7.025
! * energy relative to the elements, uncorrected: 21.46 kJ/mol of atoms
! * density: 4.66 Mg/m³
! * magnetization: 1.81 μB/f.u.
! * density of states at the Fermi level: 4.67 states/eV/f.u.
! * space group: No. 123

! PBE Pr12SnHg6, optimized geometry; values from VASP
&SYSTEM
  ibrav = 0, nat = 19, ntyp = 3
/
ATOMIC_SPECIES
Sn 118.71 Sn.upf
Pr 140.91 Pr.upf
Hg 200.59 Hg.upf
ATOMIC_POSITIONS angstrom
Sn 0.000 0.000 0.000
Pr -0.339 1.447 3.281
Pr -1.471 -0.769 5.824
Hg 1.573 -1.499 4.393
Hg -0.216 2.506 6.389
Hg 4.299 2.250 -0.690
Hg -1.720 4.085 2.091
Pr 1.096 4.641 3.688
Pr 2.601 1.508 5.226
Pr -1.940 5.322 5.414
Hg 2.510 6.256 1.305
Pr 4.422 3.310 2.418
Pr 4.620 -1.254 6.204
Pr 1.482 3.249 0.473
Pr 5.554 5.526 -0.125
Pr 6.023 -0.565 0.284
Pr 2.987 0.115 2.010
Pr -0.537 6.011 -0.505
Hg 5.803 0.672 3.608
CELL_PARAMETERS angstrom
9.110 -1.146 -1.373
-2.514 8.831 -1.373
-2.514 -2.929 8.444
! * density: 8.72 Mg/m³
! * magnetization: 0.00 μB/f.u.
! * density of states at the Fermi level: 24.21 states/eV/f.u.
! * formation energy from the elements: -0.29 eV/atom
! * space group: No. 148

! PBE Ca2HgPd2, optimized geometry; values from VASP
&SYSTEM
  ibrav = 0, nat = 5, ntyp = 3
/
ATOMIC_SPECIES
Ca 40.08 Ca.upf
Pd 106.42 Pd.upf
Hg 200.59 Hg.upf
ATOMIC_POSITIONS angstrom
Ca 1.938 1.938 1.883
Pd 3.875 1.938 4.065
Pd 1.938 3.875 4.065
Ca 3.875 3.875 6.247
Hg 0.000 0.000 0.000
CELL_PARAMETERS angstrom
3.875 0.000 0.000
0.000 3.875 0.000
1.938 1.938 8.130
! * density: 6.71 Mg/m³
! * magnetization: 0.00 μB/f.u.
! * density of states at the Fermi level: 4.24 states/eV/f.u.
! * formation energy from the elements: -0.46 eV/atom
! * space group: No. 139

! PBE Al2CuPt, optimized geometry; values from VASP
&SYSTEM
  ibrav = 0, nat = 4, ntyp = 3
/
ATOMIC_SPECIES
Pt 195.08 Pt.upf
Al 26.98 Al.upf
Cu 63.55 Cu.upf
ATOMIC_POSITIONS angstrom
Pt 17.995 3.156 1.859
Al 23.956 4.201 2.475
Al 12.035 2.110 1.243
Cu 5.998 1.052 0.620
CELL_PARAMETERS angstrom
8.329 0.003 0.002
7.833 2.831 0.002
7.833 1.374 2.476
! * density: 8.90 Mg/m³
! * magnetization: 0.00 μB/f.u.
! * density of states at the Fermi level: 2.22 states/eV/f.u.
! * formation energy from the elements: -0.41 eV/atom
! * space group: No. 166

! PBE AcLaLuIn, optimized geometry; values from VASP
&SYSTEM
  ibrav = 0, nat = 4, ntyp = 4
/
ATOMIC_SPECIES
La 138.91 La.upf
Ac 227.00 Ac.upf
In 114.82 In.upf
Lu 174.97 Lu.upf
ATOMIC_POSITIONS angstrom
La 5.672 3.275 2.316
Ac 8.508 4.912 3.473
In 2.836 1.637 1.158
Lu 0.000 0.000 0.000
CELL_PARAMETERS angstrom
5.672 0.000 0.000
2.836 4.912 0.000
2.836 1.637 4.631
! * density: 8.44 Mg/m³
! * magnetization: 0.02 μB/f.u.
! * density of states at the Fermi level: 7.06 states/eV/f.u.
! * formation energy from the elements: -0.05 eV/atom
! * space group: No. 216

! PBE PrTmInPt, optimized geometry; values from VASP
&SYSTEM
  ibrav = 0, nat = 4, ntyp = 4
/
ATOMIC_SPECIES
Tm 168.93 Tm.upf
Pt 195.08 Pt.upf
Pr 140.91 Pr.upf
In 114.82 In.upf
ATOMIC_POSITIONS angstrom
Tm 0.000 0.000 0.000
Pt 7.809 4.509 3.188
Pr 5.206 3.006 2.125
In 2.603 1.503 1.063
CELL_PARAMETERS angstrom
5.206 0.000 0.000
2.603 4.509 0.000
2.603 1.503 4.251
! * density: 10.31 Mg/m³
! * magnetization: 0.00 μB/f.u.
! * density of states at the Fermi level: 3.28 states/eV/f.u.
! * formation energy from the elements: -0.68 eV/atom
! * space group: No. 216

! PBE CeHoSiHg, optimized geometry; values from VASP
&SYSTEM
  ibrav = 0, nat = 4, ntyp = 4
/
ATOMIC_SPECIES
Ho 164.93 Ho.upf
Ce 140.12 Ce.upf
Hg 200.59 Hg.upf
Si 28.09 Si.upf
ATOMIC_POSITIONS angstrom
Ho 0.000 0.000 0.000
Ce 5.168 2.984 2.110
Hg 2.584 1.492 1.055
Si 7.752 4.476 3.165
CELL_PARAMETERS angstrom
5.168 0.000 0.000
2.584 4.476 0.000
2.584 1.492 4.220
! * energy relative to the elements, uncorrected: -38.96 kJ/mol of atoms
! * density: 9.08 Mg/m³
! * magnetization: 0.94 μB/f.u.
! * density of states at the Fermi level: 8.12 states/eV/f.u.
! * space group: No. 216

! PBE LaMgRh, optimized geometry; values from VASP
&SYSTEM
  ibrav = 0, nat = 3, ntyp = 3
/
ATOMIC_SPECIES
La 138.91 La.upf
Mg 24.30 Mg.upf
Rh 102.91 Rh.upf
ATOMIC_POSITIONS angstrom
La 0.000 0.000 0.000
Mg 2.268 1.309 2.006
Rh 0.000 2.619 2.008
CELL_PARAMETERS angstrom
4.536 0.000 0.000
-2.268 3.928 0.000
0.000 0.000 4.014
! * density: 6.18 Mg/m³
! * magnetization: 0.00 μB/f.u.
! * density of states at the Fermi level: 1.29 states/eV/f.u.
! * formation energy from the elements: -0.42 eV/atom
! * space group: No. 187

! PBE CoGeAs2Se, optimized geometry; values from VASP
&SYSTEM
  ibrav = 0, nat = 5, ntyp = 4
/
ATOMIC_SPECIES
Se 78.96 Se.upf
As 74.92 As.upf
Co 58.93 Co.upf
Ge 72.64 Ge.upf
ATOMIC_POSITIONS angstrom
Se -2.021 1.232 0.713
As -1.086 -2.114 0.575
As -0.896 -0.156 -2.270
Co -4.004 -1.039 -0.982
Ge 0.000 0.000 0.000
CELL_PARAMETERS angstrom
-1.793 -0.313 -4.540
-2.172 -4.228 1.150
-4.042 2.464 1.427
! * energy relative to the elements, uncorrected: 109.65 kJ/mol of atoms
! * density: 5.06 Mg/m³
! * magnetization: 1.84 μB/f.u.
! * density of states at the Fermi level: 5.87 states/eV/f.u.
! * space group: No. 123

! PBE TcPBr, optimized geometry; values from VASP
&SYSTEM
  ibrav = 0, nat = 3, ntyp = 3
/
ATOMIC_SPECIES
Tc 98.00 Tc.upf
P 30.97 P.upf
Br 79.90 Br.upf
ATOMIC_POSITIONS angstrom
Tc 2.519 0.891 0.000
P 3.315 1.180 2.228
Br 0.224 0.079 0.000
CELL_PARAMETERS angstrom
6.803 0.043 0.007
5.316 4.245 -0.007
-6.061 -2.138 2.228
! * energy relative to the elements, uncorrected: 3.02 kJ/mol of atoms
! * density: 5.43 Mg/m³
! * magnetization: 0.00 μB/f.u.
! * density of states at the Fermi level: 2.81 states/eV/f.u.
! * space group: No. 107

! PBE Cd2AgBr, optimized geometry; values from VASP
&SYSTEM
  ibrav = 0, nat = 4, ntyp = 3
/
ATOMIC_SPECIES
Ag 107.87 Ag.upf
Br 79.90 Br.upf
Cd 112.41 Cd.upf
ATOMIC_POSITIONS angstrom
Ag -1.218 -5.704 10.942
Br -1.825 -8.548 16.397
Cd -0.599 -2.804 5.379
Cd -2.426 -11.362 21.796
CELL_PARAMETERS angstrom
-2.547 -4.821 6.537
1.141 -4.663 7.030
-1.020 -1.882 8.239
! * energy relative to the elements, uncorrected: -10.16 kJ/mol of atoms
! * density: 6.93 Mg/m³
! * magnetization: 0.00 μB/f.u.
! * density of states at the Fermi level: 1.00 states/eV/f.u.
! * space group: No. 160

> What is the magnetization in the eleventh record?

0.00 μB/f.u.

Please write out number 4 again, unchanged.
! PBE Ca2HgPd2, optimized geometry; values from VASP
&SYSTEM
  ibrav = 0, nat = 5, ntyp = 3
/
ATOMIC_SPECIES
Ca 40.08 Ca.upf
Pd 106.42 Pd.upf
Hg 200.59 Hg.upf
ATOMIC_POSITIONS angstrom
Ca 1.938 1.938 1.883
Pd 3.875 1.938 4.065
Pd 1.938 3.875 4.065
Ca 3.875 3.875 6.247
Hg 0.000 0.000 0.000
CELL_PARAMETERS angstrom
3.875 0.000 0.000
0.000 3.875 0.000
1.938 1.938 8.130
! * density: 6.71 Mg/m³
! * magnetization: 0.00 μB/f.u.
! * density of states at the Fermi level: 4.24 states/eV/f.u.
! * formation energy from the elements: -0.46 eV/atom
! * space group: No. 139